No. 1
# TbNpAgS4 | Alexandria via LeMat-Bulk | PBE | optimized geometry
data_TbNpAgS4
_cell_length_a 7.929
_cell_length_b 8.043
_cell_length_c 11.232
_cell_angle_alpha 90.00
_cell_angle_beta 90.00
_cell_angle_gamma 90.00
_space_group_name_H-M_alt 'I m m a'
_space_group_IT_number 74
_space_group_name_Hall '-I 2b 2'
loop_
_atom_site_label
_atom_site_type_symbol
_atom_site_fract_x
_atom_site_fract_y
_atom_site_fract_z
_atom_site_occupancy
Tb1 Tb 0.250 0.250 0.250 1
Np1 Np 0.000 0.000 0.000 1
Ag1 Ag 0.000 0.250 0.629 1
S1 S 0.000 0.014 0.238 1
S2 S 0.229 0.250 0.005 1
# V = 179 Å³/f.u.
# Crystal system = orthorhombic
# Formation energy (no corrections) = -1292 meV per atom



No. 2
# NpAgTeS | Alexandria via LeMat-Bulk | PBE | optimized geometry
data_NpAgTeS
_cell_length_a 4.475
_cell_length_b 4.475
_cell_length_c 9.717
_cell_angle_alpha 90.00
_cell_angle_beta 90.00
_cell_angle_gamma 90.00
_space_group_name_H-M_alt 'P 4/n m m'
_space_group_IT_number 129
loop_
_space_group_symop_operation_xyz
'x,y,z'
'-x,-y,-z'
'-y+1/2,x,z'
'y+1/2,-x,-z'
'-x+1/2,-y+1/2,z'
'x+1/2,y+1/2,-z'
'y,-x+1/2,z'
'-y,x+1/2,-z'
'x+1/2,-y,-z'
'-x+1/2,y,z'
'-y,-x,-z'
'y,x,z'
'-x,y+1/2,-z'
'x,-y+1/2,z'
'y+1/2,x+1/2,-z'
'-y+1/2,-x+1/2,z'
loop_
_atom_site_label
_atom_site_type_symbol
_atom_site_fract_x
_atom_site_fract_y
_atom_site_fract_z
_atom_site_occupancy
Np1 Np 0.250 0.250 0.155 1
Ag1 Ag 0.250 0.750 0.500 1
Te1 Te 0.250 0.250 0.694 1
S1 S 0.250 0.750 0.000 1
# V = 97 Å³/f.u.
# Crystal system = tetragonal
# Formation energy (no corrections) = -682 meV per atom



No. 3
# NpTiAgS4 | Alexandria via LeMat-Bulk | PBE | optimized geometry
data_NpTiAgS4
_cell_length_a 7.287
_cell_length_b 8.067
_cell_length_c 10.530
_cell_angle_alpha 90.00
_cell_angle_beta 90.00
_cell_angle_gamma 90.00
_space_group_name_H-M_alt 'I m m a'
_space_group_IT_number 74
_space_group_name_Hall '-I 2b 2'
loop_
_atom_site_label
_atom_site_type_symbol
_atom_site_fract_x
_atom_site_fract_y
_atom_site_fract_z
_atom_site_occupancy
Np1 Np 0.000 0.000 0.000 1
Ti1 Ti 0.250 0.250 0.250 1
Ag1 Ag 0.000 0.250 0.654 1
S1 S 0.000 0.039 0.253 1
S2 S 0.243 0.250 0.016 1
# V = 155 Å³/f.u.
# Crystal system = orthorhombic
# Formation energy (no corrections) = -1076 meV per atom